DFT (GGA-PBE) results for InSn12Pd4 after structural relaxation.

Summary:
- Magnetization: 0.000 μB per atom
- N(E_F): 8.27 states/eV per cell
- ΔE_f: -212 meV/atom

abc: 8.274 8.274 8.274
angles: 109.47 109.47 109.47
Atoms (fractional coordinates):
In  0.000  0.000  0.000
Sn  0.158  0.341  0.499
Sn  0.158  0.659  0.817
Sn  0.183  0.842  0.341
Sn  0.341  0.183  0.842
Sn  0.341  0.499  0.158
Sn  0.499  0.158  0.341
Sn  0.501  0.842  0.659
Sn  0.659  0.501  0.842
Sn  0.659  0.817  0.158
Sn  0.817  0.158  0.659
Sn  0.842  0.341  0.183
Sn  0.842  0.659  0.501
Pd  0.000  0.000  0.500
Pd  0.000  0.500  0.000
Pd  0.500  0.000  0.000
Pd  0.500  0.500  0.500